Here is LiAsPd3 after structural relaxation from Alexandria via LeMat-Bulk. Energies are from PBE.

a b c (Å): 4.905 4.905 4.905
angles (deg): 68.09 68.09 68.09
Atoms (fractional coordinates):
Li1 0.000 0.000 0.000
As1 0.605 0.605 0.605
Pd1 0.105 0.605 0.605
Pd2 0.605 0.105 0.605
Pd3 0.605 0.605 0.105

Its space group is R3m. For the distance to the lowest polymorph of the same formula, the calculation gives 0.145 eV per atom. The total magnetic moment is 0.000 μB per atom.

=====

Here is Li6AsPd8 after structural relaxation from Alexandria via LeMat-Bulk. Energies are from PBE.

a b c (Å): 6.471 6.471 6.471
angles (deg): 70.14 70.14 70.14
Atoms (fractional coordinates):
Li1 0.150 0.621 0.436
Li2 0.379 0.564 0.850
Li3 0.436 0.150 0.621
Li4 0.564 0.850 0.379
Li5 0.621 0.436 0.150
Li6 0.850 0.379 0.564
As1 0.000 0.000 0.000
Pd1 0.076 0.364 0.861
Pd2 0.139 0.924 0.636
Pd3 0.261 0.261 0.261
Pd4 0.364 0.861 0.076
Pd5 0.636 0.139 0.924
Pd6 0.739 0.739 0.739
Pd7 0.861 0.076 0.364
Pd8 0.924 0.636 0.139

Its space group is R-3. For the distance to the lowest polymorph of the same formula, the calculation gives 0.033 eV per atom. The total magnetic moment is 0.000 μB per atom.

=====

Here is Li2AsPd8 after structural relaxation from Alexandria via LeMat-Bulk. Energies are from PBE.

a b c (Å): 6.469 6.469 4.700
angles (deg): 103.13 103.13 82.72
Atoms (fractional coordinates):
Li1 0.154 0.154 0.039
Li2 0.846 0.846 0.961
As1 0.000 0.000 0.500
Pd1 0.152 0.683 0.700
Pd2 0.264 0.264 0.615
Pd3 0.317 0.848 0.300
Pd4 0.426 0.426 0.204
Pd5 0.574 0.574 0.796
Pd6 0.683 0.152 0.700
Pd7 0.736 0.736 0.385
Pd8 0.848 0.317 0.300

Its space group is C2/m. For the distance to the lowest polymorph of the same formula, the calculation gives 0.191 eV per atom. The total magnetic moment is 0.000 μB per atom.

=====

Here is LiAs2Pd5 after structural relaxation from Alexandria via LeMat-Bulk. Energies are from PBE.

a b c (Å): 6.806 6.806 6.806
angles (deg): 154.84 107.11 78.50
Atoms (fractional coordinates):
Li1 0.000 0.000 0.000
As1 0.261 0.761 0.500
As2 0.739 0.239 0.500
Pd1 0.121 0.368 0.753
Pd2 0.385 0.632 0.753
Pd3 0.500 0.000 0.500
Pd4 0.615 0.368 0.247
Pd5 0.879 0.632 0.247

Its space group is Immm. For the distance to the lowest polymorph of the same formula, the calculation gives 0.032 eV per atom. The total magnetic moment is 0.000 μB per atom.

=====

Here is LiAs3Pd after structural relaxation from Alexandria via LeMat-Bulk. Energies are from PBE.

a b c (Å): 4.947 4.947 4.947
angles (deg): 90.00 90.00 90.00
Atoms (fractional coordinates):
Li1 0.000 0.000 0.000
As1 0.000 0.500 0.500
As2 0.500 0.000 0.500
As3 0.500 0.500 0.000
Pd1 0.500 0.500 0.500

Its space group is Pm-3m. For the distance to the lowest polymorph of the same formula, the calculation gives 0.000 eV per atom. The total magnetic moment is 0.000 μB per atom.

=====

Here is Li2As2Pd3 after structural relaxation from Alexandria via LeMat-Bulk. Energies are from PBE.

a b c (Å): 5.142 5.142 6.640
angles (deg): 107.23 107.23 43.64
Atoms (fractional coordinates):
Li1 0.116 0.116 0.258
Li2 0.884 0.884 0.742
As1 0.165 0.165 0.710
As2 0.835 0.835 0.290
Pd1 0.370 0.370 0.061
Pd2 0.500 0.500 0.500
Pd3 0.630 0.630 0.939

Its space group is C2/m. For the distance to the lowest polymorph of the same formula, the calculation gives 0.000 eV per atom. The total magnetic moment is 0.000 μB per atom.

=====

Here is Li2As2Pd after structural relaxation from Alexandria via LeMat-Bulk. Energies are from PBE.

a b c (Å): 5.255 5.255 5.255
angles (deg): 134.26 117.07 81.20
Atoms (fractional coordinates):
Li1 0.206 0.206 0.000
Li2 0.794 0.794 0.000
As1 0.231 0.500 0.731
As2 0.769 0.500 0.269
Pd1 0.500 0.000 0.500

Its space group is Immm. For the distance to the lowest polymorph of the same formula, the calculation gives 0.085 eV per atom. The total magnetic moment is 0.000 μB per atom.

=====

Here is LiAs2Pd4 after structural relaxation from Alexandria via LeMat-Bulk. Energies are from PBE.

a b c (Å): 7.023 7.023 4.273
angles (deg): 90.00 90.00 144.46
Atoms (fractional coordinates):
Li1 0.000 0.000 0.000
As1 0.408 0.592 0.500
As2 0.592 0.408 0.500
Pd1 0.178 0.822 0.500
Pd2 0.323 0.677 0.000
Pd3 0.677 0.323 0.000
Pd4 0.822 0.178 0.500

Its space group is Cmmm. For the distance to the lowest polymorph of the same formula, the calculation gives 0.027 eV per atom. The total magnetic moment is 0.000 μB per atom.

=====

Here is Li6AsPd12 after structural relaxation from Alexandria via LeMat-Bulk. Energies are from PBE.

a b c (Å): 6.517 6.517 6.517
angles (deg): 89.73 89.73 89.73
Atoms (fractional coordinates):
Li1 0.220 0.383 0.780
Li2 0.220 0.780 0.617
Li3 0.383 0.780 0.220
Li4 0.617 0.220 0.780
Li5 0.780 0.220 0.383
Li6 0.780 0.617 0.220
As1 0.500 0.500 0.500
Pd1 0.039 0.945 0.299
Pd2 0.055 0.701 0.961
Pd3 0.142 0.491 0.349
Pd4 0.299 0.039 0.945
Pd5 0.349 0.142 0.491
Pd6 0.491 0.349 0.142
Pd7 0.509 0.651 0.858
Pd8 0.651 0.858 0.509
Pd9 0.701 0.961 0.055
Pd10 0.858 0.509 0.651
Pd11 0.945 0.299 0.039
Pd12 0.961 0.055 0.701

Its space group is R-3. For the distance to the lowest polymorph of the same formula, the calculation gives 0.029 eV per atom. The total magnetic moment is 0.000 μB per atom.

=====

Here is Li3As3Pd after structural relaxation from Alexandria via LeMat-Bulk. Energies are from PBE.

a b c (Å): 5.333 5.333 12.928
angles (deg): 106.65 106.65 46.28
Atoms (fractional coordinates):
Li1 0.030 0.030 0.375
Li2 0.090 0.090 0.914
Li3 0.225 0.225 0.228
Li4 0.775 0.775 0.772
Li5 0.910 0.910 0.086
Li6 0.970 0.970 0.625
As1 0.374 0.374 0.448
As2 0.386 0.386 0.923
As3 0.484 0.484 0.768
As4 0.516 0.516 0.232
As5 0.614 0.614 0.077
As6 0.626 0.626 0.552
Pd1 0.262 0.262 0.602
Pd2 0.738 0.738 0.398

Its space group is C2/m. The total magnetic moment is 0.000 μB per atom.

=====

Here is Li4AsPd after structural relaxation from Alexandria via LeMat-Bulk. Energies are from PBE.

a b c (Å): 5.179 4.336 7.917
angles (deg): 90.00 108.91 90.00
Atoms (fractional coordinates):
Li1 0.042 0.250 0.084
Li2 0.203 0.250 0.414
Li3 0.289 0.750 0.586
Li4 0.457 0.750 0.916
Li5 0.543 0.250 0.084
Li6 0.711 0.250 0.414
Li7 0.797 0.750 0.586
Li8 0.958 0.750 0.916
As1 0.129 0.250 0.759
As2 0.871 0.750 0.241
Pd1 0.381 0.750 0.261
Pd2 0.619 0.250 0.739

Its space group is P2_1/m. For the distance to the lowest polymorph of the same formula, the calculation gives 0.000 eV per atom. The total magnetic moment is 0.000 μB per atom.

=====

Here is Li2AsPd5 after structural relaxation from Alexandria via LeMat-Bulk. Energies are from PBE.

a b c (Å): 7.597 7.597 7.597
angles (deg): 133.29 133.29 68.19
Atoms (fractional coordinates):
Li1 0.134 0.634 0.767
Li2 0.366 0.134 0.500
Li3 0.634 0.866 0.500
Li4 0.866 0.366 0.233
As1 0.250 0.250 0.000
As2 0.750 0.750 0.000
Pd1 0.000 0.000 0.000
Pd2 0.014 0.180 0.500
Pd3 0.180 0.680 0.166
Pd4 0.320 0.486 0.500
Pd5 0.486 0.986 0.166
Pd6 0.500 0.500 0.000
Pd7 0.514 0.014 0.834
Pd8 0.680 0.514 0.500
Pd9 0.820 0.320 0.834
Pd10 0.986 0.820 0.500

Its space group is I4/mcm. For the distance to the lowest polymorph of the same formula, the calculation gives 0.142 eV per atom. The total magnetic moment is 0.000 μB per atom.

=====

Here is LiAs2Pd6 after structural relaxation from Alexandria via LeMat-Bulk. Energies are from PBE.

a b c (Å): 4.827 4.827 7.973
angles (deg): 110.58 110.58 53.63
Atoms (fractional coordinates):
Li1 0.000 0.000 0.000
As1 0.338 0.338 0.740
As2 0.662 0.662 0.260
Pd1 0.032 0.032 0.690
Pd2 0.317 0.317 0.418
Pd3 0.356 0.356 0.065
Pd4 0.644 0.644 0.935
Pd5 0.683 0.683 0.582
Pd6 0.968 0.968 0.310

Its space group is C2/m. For the distance to the lowest polymorph of the same formula, the calculation gives 0.000 eV per atom. The total magnetic moment is 0.000 μB per atom.

=====

Here is Li2As3Pd8 after structural relaxation from Alexandria via LeMat-Bulk. Energies are from PBE.

a b c (Å): 9.504 9.504 9.504
angles (deg): 32.39 32.39 32.39
Atoms (fractional coordinates):
Li1 0.129 0.129 0.129
Li2 0.871 0.871 0.871
As1 0.306 0.306 0.306
As2 0.500 0.500 0.500
As3 0.694 0.694 0.694
Pd1 0.218 0.218 0.718
Pd2 0.218 0.718 0.218
Pd3 0.219 0.219 0.219
Pd4 0.282 0.782 0.782
Pd5 0.718 0.218 0.218
Pd6 0.781 0.781 0.781
Pd7 0.782 0.282 0.782
Pd8 0.782 0.782 0.282

Its space group is R-3m. The total magnetic moment is 0.000 μB per atom.

=====

Here is LiAs2Pd5 after structural relaxation from Alexandria via LeMat-Bulk. Energies are from PBE.

a b c (Å): 6.352 6.352 6.352
angles (deg): 144.06 109.23 82.02
Atoms (fractional coordinates):
Li1 0.000 0.000 0.000
As1 0.244 0.744 0.500
As2 0.756 0.256 0.500
Pd1 0.156 0.351 0.805
Pd2 0.454 0.649 0.805
Pd3 0.500 0.000 0.500
Pd4 0.546 0.351 0.195
Pd5 0.844 0.649 0.195

Its space group is Immm. For the distance to the lowest polymorph of the same formula, the calculation gives 0.000 eV per atom. The total magnetic moment is 0.000 μB per atom.

=====

Here is Li2As3Pd2 after structural relaxation from Alexandria via LeMat-Bulk. Energies are from PBE.

a b c (Å): 5.217 5.217 6.474
angles (deg): 108.24 108.24 47.96
Atoms (fractional coordinates):
Li1 0.182 0.182 0.313
Li2 0.818 0.818 0.687
As1 0.378 0.378 0.033
As2 0.500 0.500 0.500
As3 0.622 0.622 0.967
Pd1 0.113 0.113 0.725
Pd2 0.887 0.887 0.275

Its space group is C2/m. The total magnetic moment is 0.000 μB per atom.

=====

Here is LiAsPd6 after structural relaxation from Alexandria via LeMat-Bulk. Energies are from PBE.

a b c (Å): 7.650 7.648 4.068
angles (deg): 74.60 74.56 30.85
Atoms (fractional coordinates):
Li1 0.000 0.000 0.000
As1 0.500 0.500 0.500
Pd1 0.111 0.111 0.389
Pd2 0.252 0.252 0.748
Pd3 0.389 0.389 0.111
Pd4 0.611 0.611 0.889
Pd5 0.748 0.748 0.252
Pd6 0.889 0.889 0.611

Its space group is Fmmm. For the distance to the lowest polymorph of the same formula, the calculation gives 0.000 eV per atom. The total magnetic moment is 0.000 μB per atom.

=====

Here is LiAsPd3 after structural relaxation from Alexandria via LeMat-Bulk. Energies are from PBE.

a b c (Å): 4.290 4.290 4.290
angles (deg): 90.00 90.00 90.00
Atoms (fractional coordinates):
Li1 0.000 0.000 0.000
As1 0.500 0.500 0.500
Pd1 0.000 0.000 0.500
Pd2 0.000 0.500 0.000
Pd3 0.500 0.000 0.000

Its space group is Pm-3m. For the distance to the lowest polymorph of the same formula, the calculation gives 0.671 eV per atom. The total magnetic moment is 0.000 μB per atom.

=====

Here is LiAsPd4 after structural relaxation from Alexandria via LeMat-Bulk. Energies are from PBE.

a b c (Å): 5.061 7.771 4.918
angles (deg): 90.00 110.35 90.00
Atoms (fractional coordinates):
Li1 0.000 0.000 0.000
Li2 0.000 0.500 0.500
As1 0.500 0.000 0.500
As2 0.500 0.500 0.000
Pd1 0.109 0.159 0.580
Pd2 0.109 0.341 0.080
Pd3 0.399 0.665 0.391
Pd4 0.399 0.835 0.891
Pd5 0.601 0.165 0.109
Pd6 0.601 0.335 0.609
Pd7 0.891 0.659 0.920
Pd8 0.891 0.841 0.420

Its space group is P2_1/c. For the distance to the lowest polymorph of the same formula, the calculation gives 0.088 eV per atom. The total magnetic moment is 0.000 μB per atom.

=====

Here is Li4As2Pd3 after structural relaxation from Alexandria via LeMat-Bulk. Energies are from PBE.

a b c (Å): 4.680 4.680 8.509
angles (deg): 108.56 108.56 47.09
Atoms (fractional coordinates):
Li1 0.166 0.166 0.049
Li2 0.170 0.170 0.391
Li3 0.830 0.830 0.609
Li4 0.834 0.834 0.951
As1 0.157 0.157 0.727
As2 0.843 0.843 0.273
Pd1 0.483 0.483 0.822
Pd2 0.500 0.500 0.500
Pd3 0.517 0.517 0.178

Its space group is C2/m. The total magnetic moment is 0.000 μB per atom.

=====

Here is Li3As3Pd2 after structural relaxation from Alexandria via LeMat-Bulk. Energies are from PBE.

a b c (Å): 4.370 4.370 16.278
angles (deg): 90.00 90.00 120.14
Atoms (fractional coordinates):
Li1 0.001 0.999 0.662
Li2 0.001 0.999 0.838
Li3 0.332 0.668 0.250
Li4 0.668 0.332 0.750
Li5 0.999 0.001 0.162
Li6 0.999 0.001 0.338
As1 0.332 0.668 0.064
As2 0.332 0.668 0.436
As3 0.335 0.665 0.750
As4 0.665 0.335 0.250
As5 0.668 0.332 0.564
As6 0.668 0.332 0.936
Pd1 0.335 0.665 0.591
Pd2 0.335 0.665 0.909
Pd3 0.665 0.335 0.091
Pd4 0.665 0.335 0.409

Its space group is Cmcm. The total magnetic moment is 0.000 μB per atom.

=====

no.,E (eV per atom),energy of formation (eV per atom)
1,-4.690,-0.2621
2,-4.173,-0.3285
3,-4.616,-0.0691
4,-5.000,-0.3533
5,-3.873,0.3384
6,-4.607,-0.5064
7,-4.154,-0.4900
8,-4.957,-0.3874
9,-4.418,-0.2893
10,-4.069,-0.5141
11,-3.456,-0.5396
12,-4.665,-0.3597
13,-5.113,-0.4049
14,-4.647,-0.0839
15,-5.032,-0.3852
16,-4.425,-0.4022
17,-5.056,-0.3410
18,-4.165,0.2637
19,-4.910,-0.3540
20,-4.182,-0.5670
21,-4.271,-0.5115